Record 1
Density functional theory data (PBE-GGA) for crystalline Tb3Al4Ag4 at its relaxed geometry.

Cell lengths 3.540, 4.588, 14.585 Å; angles 81.03, 82.96, 90.00 degrees
Positions (direct):
Tb 0.143 0.644 0.713
Tb 0.857 0.356 0.287
Tb 0.000 0.000 0.000
Al 0.595 0.095 0.810
Al 0.260 0.260 0.481
Al 0.740 0.740 0.519
Al 0.405 0.905 0.190
Ag 0.550 0.549 0.901
Ag 0.450 0.451 0.099
Ag 0.312 0.812 0.377
Ag 0.688 0.188 0.623

- ΔE_f: -0.34 eV per atom
- Total magnetic moment: 0.00 μB/f.u.



Record 2
Density functional theory data (PBE-GGA) for crystalline Ba2LiBr4 at its relaxed geometry.

Cell lengths 5.110, 5.110, 9.407 Å; angles 74.24, 74.24, 90.00 degrees
Positions (direct):
Ba 0.642 0.642 0.716
Ba 0.358 0.358 0.284
Br 0.827 0.827 0.346
Br 0.173 0.173 0.654
Br 0.000 0.500 0.000
Br 0.500 0.000 0.000
Li 0.000 0.000 0.000

- Total magnetic moment: 0.00 μB/f.u.
- Uncorrected energy: -3.532 eV/atom



Record 3
Density functional theory data (PBE-GGA) for crystalline Rb2CrMoBr6 at its relaxed geometry.

Cell lengths 7.636, 7.636, 7.640 Å; angles 60.02, 60.02, 90.00 degrees
Site moments in Bohr magnetons follow the coordinates.
Positions (direct):
Cr 0.500 0.500 0.000  3.99
Mo 0.000 0.000 0.000  2.93
Br 0.248 0.248 0.504  0.02
Br 0.752 0.752 0.496  0.02
Br 0.248 0.248 0.000  0.02
Br 0.752 0.752 0.000  0.02
Br 0.752 0.248 0.000  0.02
Br 0.248 0.752 0.000  0.02
Rb 0.750 0.250 0.500  0.00
Rb 0.250 0.750 0.500  0.00

- Total magnetic moment: 8.00 μB/f.u.
- Uncorrected energy: -4.154 eV/atom



Record 4
Density functional theory data (PBE-GGA) for crystalline In2NiHg at its relaxed geometry.

Cell lengths 7.001, 7.001, 7.001 Å; angles 155.45, 142.13, 45.65 degrees
Positions (direct):
Hg 0.250 0.750 0.500
In 0.929 0.929 0.000
In 0.571 0.571 0.000
Ni 0.750 0.250 0.500

- ΔE_f: 0.04 eV per atom
- Total magnetic moment: 0.00 μB/f.u.



Record 5
Density functional theory data (PBE-GGA) for crystalline Pm2HoPu at its relaxed geometry.

Cell lengths 5.660, 5.660, 5.660 Å; angles 60.00, 60.00, 60.00 degrees
Site moments in Bohr magnetons follow the coordinates.
Positions (direct):
Pm 0.250 0.250 0.250  0.27
Pm 0.750 0.750 0.750  0.27
Ho 0.000 0.000 0.000  0.35
Pu 0.500 0.500 0.500  5.63

- ΔE_f: 0.21 eV per atom
- Total magnetic moment: 7.50 μB/f.u.



Record 6
Density functional theory data (PBE-GGA) for crystalline Sc2PtPb at its relaxed geometry.

Cell lengths 4.875, 4.875, 4.875 Å; angles 60.00, 60.00, 60.00 degrees
Site moments in Bohr magnetons follow the coordinates.
Positions (direct):
Pb 0.500 0.500 0.500  0.01
Pt 0.750 0.750 0.750  0.03
Sc 0.000 0.000 0.000  0.55
Sc 0.250 0.250 0.250  0.78

- ΔE_f: -0.37 eV per atom
- Total magnetic moment: 1.85 μB/f.u.



Record 7
Density functional theory data (PBE-GGA) for crystalline Li2ReNiAg at its relaxed geometry.

Cell lengths 4.821, 4.414, 4.821 Å; angles 90.00, 90.00, 90.00 degrees
Site moments in Bohr magnetons follow the coordinates.
Positions (direct):
Re 0.000 0.000 0.000  1.15
Li 0.000 0.000 0.500  0.01
Li 0.500 0.000 0.000  0.01
Ag 0.500 0.500 0.500  0.00
Ni 0.000 0.500 0.000  0.34

- ΔE_f: 1.26 eV per atom
- Total magnetic moment: 1.76 μB/f.u.



Record 8
Density functional theory data (PBE-GGA) for crystalline Y2OsCl at its relaxed geometry.

Cell lengths 7.753, 7.753, 7.753 Å; angles 29.78, 29.78, 29.78 degrees
Positions (direct):
Cl 0.250 0.250 0.250
Os 0.750 0.750 0.750
Y 0.015 0.015 0.015
Y 0.485 0.485 0.485

- Total magnetic moment: 0.00 μB/f.u.
- Uncorrected energy: -7.190 eV/atom



Record 9
Density functional theory data (PBE-GGA) for crystalline La2PmNd2Y4 at its relaxed geometry.

Cell lengths 3.679, 9.702, 9.758 Å; angles 115.25, 90.00, 100.93 degrees
Positions (direct):
La 0.334 0.669 0.000
La 0.666 0.331 0.000
Pm 0.000 0.000 0.000
Nd 0.852 0.705 0.336
Nd 0.148 0.295 0.664
Y 0.815 0.630 0.663
Y 0.185 0.370 0.337
Y 0.520 0.041 0.334
Y 0.480 0.959 0.666

- ΔE_f: 0.00 eV per atom
- Total magnetic moment: 0.00 μB/f.u.



Record 10
Density functional theory data (PBE-GGA) for crystalline Na3YAg at its relaxed geometry.

Cell lengths 5.516, 5.516, 5.516 Å; angles 90.00, 90.00, 90.00 degrees
Site moments in Bohr magnetons follow the coordinates.
Positions (direct):
Y 0.500 0.500 0.500  0.33
Na 0.000 0.500 0.000  0.00
Na 0.000 0.000 0.500  0.01
Na 0.500 0.000 0.000  0.00
Ag 0.000 0.000 0.000  0.01

- ΔE_f: 0.45 eV per atom
- Total magnetic moment: 0.91 μB/f.u.



Record 11
Density functional theory data (PBE-GGA) for crystalline SrCd2Br at its relaxed geometry.

Cell lengths 6.150, 6.150, 6.150 Å; angles 137.24, 125.29, 71.83 degrees
Positions (direct):
Sr 0.513 0.513 0.000
Br 0.733 0.233 0.500
Cd 0.011 0.011 0.000
Cd 0.243 0.743 0.500

- Total magnetic moment: 0.00 μB/f.u.
- Uncorrected energy: -1.870 eV/atom



Record 12
Density functional theory data (PBE-GGA) for crystalline Ca2MgI at its relaxed geometry.

Cell lengths 3.889, 3.889, 11.807 Å; angles 80.52, 80.52, 60.00 degrees
Positions (direct):
I 0.500 0.500 0.500
Ca 0.096 0.096 0.713
Ca 0.904 0.904 0.287
Mg 0.000 0.000 0.000

- Total magnetic moment: 0.00 μB/f.u.
- Uncorrected energy: -2.016 eV/atom



Question: Which of these has the highest total magnetic moment?
Answer: Rb2CrMoBr6



Please write out number 2 again, unchanged.
Density functional theory data (PBE-GGA) for crystalline Ba2LiBr4 at its relaxed geometry.

Cell lengths 5.110, 5.110, 9.407 Å; angles 74.24, 74.24, 90.00 degrees
Positions (direct):
Ba 0.642 0.642 0.716
Ba 0.358 0.358 0.284
Br 0.827 0.827 0.346
Br 0.173 0.173 0.654
Br 0.000 0.500 0.000
Br 0.500 0.000 0.000
Li 0.000 0.000 0.000

- Total magnetic moment: 0.00 μB/f.u.
- Uncorrected energy: -3.532 eV/atom